<one>
Computed, not measured: ScPH after structural relaxation at the PBE-GGA level of DFT.

a = 3.705 Å, b = 3.705 Å, c = 6.894 Å
α = 90.00°, β = 90.00°, γ = 120.00°
Element x y z (fractional)
H: 0.333 0.667 0.510
H: 0.667 0.333 0.436
P: 0.667 0.333 0.769
P: 0.667 0.333 0.221
Sc: 0.000 0.000 0.996
Sc: 0.000 0.000 0.512

## Properties
As for the volume: 82.0 Å³ per cell. The space group is P3m1.

<two>
Computed, not measured: ScPH after structural relaxation at the PBE-GGA level of DFT.

a = 3.611 Å, b = 3.565 Å, c = 12.985 Å
α = 90.00°, β = 104.95°, γ = 90.00°
Element x y z (fractional)
Sc: 0.091 0.500 0.482
Sc: 0.303 0.500 0.211
Sc: 0.091 0.000 0.982
Sc: 0.303 0.000 0.711
H: 0.164 0.500 0.054
H: 0.606 0.000 0.288
H: 0.164 0.000 0.554
H: 0.606 0.500 0.788
P: 0.497 0.500 0.892
P: 0.743 0.000 0.141
P: 0.497 0.000 0.392
P: 0.743 0.500 0.641

## Properties
As for the volume: 161.5 Å³ per cell. The space group is Cm.

The least stable of them is <one>.

<one>
Computed, not measured: ScPH after structural relaxation at the PBE-GGA level of DFT.

a = 6.921 Å, b = 3.698 Å, c = 6.306 Å
α = 90.00°, β = 90.52°, γ = 90.00°
Element x y z (fractional)
P: 0.435 0.000 0.290
P: 0.955 0.000 0.300
P: 0.435 0.500 0.790
P: 0.955 0.500 0.800
H: 0.575 0.000 0.074
H: 0.691 0.000 0.967
H: 0.575 0.500 0.574
H: 0.691 0.500 0.467
Sc: 0.192 0.000 0.632
Sc: 0.709 0.000 0.627
Sc: 0.192 0.500 0.132
Sc: 0.709 0.500 0.127

## Properties
As for the volume: 161.4 Å³ per cell. The space group is Cm.

<two>
Computed, not measured: ScPH after structural relaxation at the PBE-GGA level of DFT.

a = 3.669 Å, b = 3.700 Å, c = 7.148 Å
α = 75.88°, β = 75.25°, γ = 60.72°
Element x y z (fractional)
Sc: 0.291 0.994 0.807
Sc: 0.477 0.174 0.256
H: 0.581 0.781 0.537
H: 0.148 0.806 0.289
P: 0.762 0.329 0.541
P: 0.893 0.583 0.014

## Properties
As for the volume: 81.0 Å³ per cell. The space group is P1.

The least stable of them is <one>.

<one>
Computed, not measured: ScPH after structural relaxation at the PBE-GGA level of DFT.

a = 3.745 Å, b = 3.755 Å, c = 8.833 Å
α = 76.74°, β = 128.96°, γ = 90.66°
Element x y z (fractional)
H: 0.749 0.864 0.100
H: 0.051 0.337 0.015
Sc: 0.212 0.731 0.397
Sc: 0.370 0.070 0.805
P: 0.727 0.221 0.410
P: 0.889 0.564 0.818

## Properties
As for the volume: 92.6 Å³ per cell. The space group is P1.

<two>
Computed, not measured: ScPH after structural relaxation at the PBE-GGA level of DFT.

a = 3.652 Å, b = 3.573 Å, c = 6.184 Å
α = 90.00°, β = 92.89°, γ = 90.00°
Element x y z (fractional)
H: 0.273 0.500 0.280
H: 0.455 0.000 0.132
Sc: 0.295 0.500 0.602
Sc: 0.763 0.500 0.140
P: 0.205 0.000 0.931
P: 0.786 0.000 0.471

## Properties
As for the volume: 80.6 Å³ per cell. The space group is Pm.

The least stable of them is <one>.

<one>
Computed, not measured: ScPH after structural relaxation at the PBE-GGA level of DFT.

a = 3.156 Å, b = 5.686 Å, c = 5.495 Å
α = 121.15°, β = 106.68°, γ = 90.00°
Element x y z (fractional)
H: 0.500 0.157 0.000
H: 0.500 0.843 0.000
Sc: 0.159 0.159 0.318
Sc: 0.841 0.841 0.682
P: 0.120 0.620 0.239
P: 0.880 0.380 0.761

## Properties
As for the volume: 79.5 Å³ per cell. The space group is Immm.

<two>
Computed, not measured: ScPH after structural relaxation at the PBE-GGA level of DFT.

a = 7.137 Å, b = 3.693 Å, c = 6.291 Å
α = 90.00°, β = 104.02°, γ = 90.00°
Element x y z (fractional)
Sc: 0.611 0.500 0.869
Sc: 0.611 0.000 0.369
Sc: 0.135 0.500 0.742
Sc: 0.135 0.000 0.242
H: 0.947 0.000 0.621
H: 0.619 0.500 0.542
H: 0.947 0.500 0.121
H: 0.619 0.000 0.042
P: 0.885 0.500 0.328
P: 0.885 0.000 0.828
P: 0.360 0.000 0.635
P: 0.360 0.500 0.135

## Properties
As for the volume: 160.9 Å³ per cell. The space group is Cm.

The least stable of them is <one>.

<one>
Computed, not measured: ScPH after structural relaxation at the PBE-GGA level of DFT.

a = 7.263 Å, b = 3.660 Å, c = 6.315 Å
α = 90.00°, β = 108.43°, γ = 90.00°
Element x y z (fractional)
Sc: 0.967 0.000 0.003
Sc: 0.512 0.500 0.674
Sc: 0.512 0.000 0.174
Sc: 0.967 0.500 0.503
P: 0.750 0.500 0.093
P: 0.222 0.500 0.936
P: 0.222 0.000 0.436
P: 0.750 0.000 0.593
H: 0.144 0.500 0.126
H: 0.475 0.500 0.335
H: 0.475 0.000 0.835
H: 0.144 0.000 0.626

## Properties
As for the volume: 159.3 Å³ per cell. The space group is Cm.

<two>
Computed, not measured: ScPH after structural relaxation at the PBE-GGA level of DFT.

a = 3.747 Å, b = 3.747 Å, c = 19.856 Å
α = 90.00°, β = 90.00°, γ = 120.00°
Element x y z (fractional)
H: 0.000 0.000 0.447
H: 0.667 0.333 0.428
H: 0.333 0.667 0.113
H: 0.667 0.333 0.780
H: 0.000 0.000 0.095
H: 0.333 0.667 0.761
Sc: 0.333 0.667 0.600
Sc: 0.667 0.333 0.266
Sc: 0.000 0.000 0.933
Sc: 0.000 0.000 0.756
Sc: 0.333 0.667 0.422
Sc: 0.667 0.333 0.089
P: 0.333 0.667 0.004
P: 0.000 0.000 0.522
P: 0.667 0.333 0.855
P: 0.667 0.333 0.671
P: 0.000 0.000 0.338
P: 0.333 0.667 0.189

## Properties
As for the volume: 241.5 Å³ per cell. The space group is R3m.

The least stable of them is <two>.

<one>
Computed, not measured: ScPH after structural relaxation at the PBE-GGA level of DFT.

a = 3.755 Å, b = 3.755 Å, c = 6.523 Å
α = 90.00°, β = 90.00°, γ = 120.00°
Element x y z (fractional)
H: 0.000 0.000 0.761
H: 0.000 0.000 0.239
Sc: 0.333 0.667 0.750
Sc: 0.333 0.667 0.250
P: 0.000 0.000 0.500
P: 0.667 0.333 0.000

## Properties
As for the volume: 79.7 Å³ per cell. The space group is P-6m2.

<two>
Computed, not measured: ScPH after structural relaxation at the PBE-GGA level of DFT.

a = 3.523 Å, b = 3.747 Å, c = 12.671 Å
α = 90.00°, β = 105.18°, γ = 90.00°
Element x y z (fractional)
P: 0.107 0.500 0.998
P: 0.107 0.000 0.498
P: 0.296 0.000 0.247
P: 0.296 0.500 0.747
H: 0.922 0.500 0.089
H: 0.480 0.000 0.921
H: 0.480 0.500 0.421
H: 0.922 0.000 0.589
Sc: 0.890 0.000 0.839
Sc: 0.639 0.500 0.585
Sc: 0.890 0.500 0.339
Sc: 0.639 0.000 0.085

## Properties
As for the volume: 161.4 Å³ per cell. The space group is Cm.

The least stable of them is <one>.

<one>
Computed, not measured: Sc3PH after structural relaxation at the PBE-GGA level of DFT.

a = 4.240 Å, b = 4.240 Å, c = 4.240 Å
α = 90.00°, β = 90.00°, γ = 90.00°
Element x y z (fractional)
Sc: 0.000 0.000 0.500
Sc: 0.000 0.500 0.000
Sc: 0.500 0.000 0.000
P: 0.500 0.500 0.500
H: 0.000 0.000 0.000

## Properties
As for the volume: 76.2 Å³ per cell. The space group is Pm-3m.

<two>
Computed, not measured: Sc3PH after structural relaxation at the PBE-GGA level of DFT.

a = 3.522 Å, b = 6.630 Å, c = 7.266 Å
α = 96.90°, β = 90.00°, γ = 90.00°
Element x y z (fractional)
H: 0.250 0.846 0.359
H: 0.750 0.154 0.641
P: 0.750 0.638 0.758
P: 0.250 0.362 0.242
Sc: 0.250 0.920 0.663
Sc: 0.750 0.290 0.965
Sc: 0.250 0.710 0.035
Sc: 0.250 0.373 0.621
Sc: 0.750 0.627 0.379
Sc: 0.750 0.080 0.337

## Properties
As for the volume: 168.4 Å³ per cell. The space group is P2_1/m.

The least stable of them is <one>.

<one>
Computed, not measured: ScP2H after structural relaxation at the PBE-GGA level of DFT.

a = 5.895 Å, b = 5.895 Å, c = 5.175 Å
α = 55.28°, β = 55.28°, γ = 90.00°
Element x y z (fractional)
P: 0.875 0.769 0.750
P: 0.519 0.125 0.250
P: 0.231 0.625 0.250
P: 0.375 0.481 0.750
Sc: 0.750 0.250 0.500
Sc: 0.000 0.000 0.000
H: 0.500 0.500 0.000
H: 0.250 0.750 0.500

## Properties
As for the volume: 106.6 Å³ per cell. The space group is I-42d.

<two>
Computed, not measured: ScP2H after structural relaxation at the PBE-GGA level of DFT.

a = 4.381 Å, b = 4.381 Å, c = 4.381 Å
α = 60.00°, β = 60.00°, γ = 60.00°
Element x y z (fractional)
P: 0.750 0.750 0.750
P: 0.250 0.250 0.250
Sc: 0.500 0.500 0.500
H: 0.000 0.000 0.000

## Properties
As for the volume: 59.5 Å³ per cell. The space group is Fm-3m.

The least stable of them is <two>.

<one>
Computed, not measured: Sc2PH2 after structural relaxation at the PBE-GGA level of DFT.

a = 5.525 Å, b = 5.525 Å, c = 5.473 Å
α = 111.36°, β = 111.36°, γ = 106.16°
Element x y z (fractional)
H: 0.495 0.245 0.991
H: 0.745 0.995 0.491
H: 0.505 0.755 0.009
H: 0.255 0.005 0.509
P: 0.125 0.375 0.250
P: 0.875 0.625 0.750
Sc: 0.162 0.338 0.750
Sc: 0.588 0.912 0.750
Sc: 0.838 0.662 0.250
Sc: 0.412 0.088 0.250

## Properties
As for the volume: 127.6 Å³ per cell. The space group is Fddd.

<two>
Computed, not measured: Sc2PH2 after structural relaxation at the PBE-GGA level of DFT.

a = 3.355 Å, b = 3.355 Å, c = 5.899 Å
α = 73.48°, β = 73.48°, γ = 90.00°
Element x y z (fractional)
H: 0.250 0.750 0.500
H: 0.750 0.250 0.500
Sc: 0.635 0.635 0.730
Sc: 0.365 0.365 0.270
P: 0.000 0.000 0.000

## Properties
As for the volume: 60.8 Å³ per cell. The space group is I4/mmm.

The least stable of them is <one>.

<one>
Computed, not measured: ScTa2PH after structural relaxation at the PBE-GGA level of DFT.

a = 4.825 Å, b = 4.679 Å, c = 4.825 Å
α = 90.00°, β = 90.00°, γ = 90.00°
Element x y z (fractional)
P: 0.000 0.500 0.000
Sc: 0.000 0.000 0.000
Ta: 0.000 0.000 0.500
Ta: 0.500 0.000 0.000
H: 0.500 0.500 0.500

## Properties
As for the volume: 108.9 Å³ per cell. The space group is P4/mmm.

<two>
Computed, not measured: ScTa2PH after structural relaxation at the PBE-GGA level of DFT.

a = 3.988 Å, b = 4.440 Å, c = 3.988 Å
α = 90.00°, β = 90.00°, γ = 90.00°
Element x y z (fractional)
Sc: 0.000 0.500 0.000
H: 0.000 0.000 0.000
Ta: 0.500 0.000 0.000
Ta: 0.000 0.000 0.500
P: 0.500 0.500 0.500

## Properties
As for the volume: 70.6 Å³ per cell. The space group is P4/mmm.

The least stable of them is <one>.

<one>
Computed, not measured: PH2Se after structural relaxation at the PBE-GGA level of DFT.

a = 4.018 Å, b = 4.018 Å, c = 6.174 Å
α = 71.01°, β = 71.01°, γ = 90.00°
Element x y z (fractional)
H: 0.375 0.125 0.250
H: 0.375 0.625 0.750
H: 0.875 0.625 0.750
H: 0.375 0.625 0.250
P: 0.250 0.750 0.500
P: 0.500 0.500 0.000
Se: 0.000 0.000 0.000
Se: 0.750 0.250 0.500

## Properties
As for the volume: 88.5 Å³ per cell. The space group is I4_1/amd.

<two>
Computed, not measured: PH2Se after structural relaxation at the PBE-GGA level of DFT.

a = 3.837 Å, b = 3.837 Å, c = 3.837 Å
α = 60.00°, β = 60.00°, γ = 60.00°
Element x y z (fractional)
P: 0.000 0.000 0.000
Se: 0.500 0.500 0.500
H: 0.750 0.750 0.750
H: 0.250 0.250 0.250

## Properties
As for the volume: 39.9 Å³ per cell. The space group is Fm-3m.

The least stable of them is <two>.

<one>
Computed, not measured: PHSe after structural relaxation at the PBE-GGA level of DFT.

a = 4.973 Å, b = 5.832 Å, c = 9.302 Å
α = 90.00°, β = 90.00°, γ = 115.24°
Element x y z (fractional)
P: 0.046 0.093 0.180
P: 0.454 0.907 0.680
P: 0.546 0.093 0.320
P: 0.954 0.907 0.820
H: 0.211 0.921 0.250
H: 0.789 0.079 0.750
H: 0.711 0.921 0.250
H: 0.289 0.079 0.750
Se: 0.335 0.669 0.876
Se: 0.165 0.331 0.376
Se: 0.835 0.669 0.624
Se: 0.665 0.331 0.124

## Properties
As for the volume: 244.1 Å³ per cell. The space group is Cmce.

<two>
Computed, not measured: PHSe after structural relaxation at the PBE-GGA level of DFT.

a = 3.559 Å, b = 12.780 Å, c = 6.187 Å
α = 97.03°, β = 67.50°, γ = 94.74°
Element x y z (fractional)
Se: 0.722 0.109 0.727
Se: 0.341 0.371 0.680
Se: 0.659 0.629 0.320
Se: 0.278 0.891 0.273
P: 0.489 0.211 0.075
P: 0.511 0.789 0.925
P: 0.963 0.674 0.947
P: 0.037 0.326 0.053
H: 0.077 0.183 0.613
H: 0.923 0.817 0.387
H: 0.611 0.278 0.603
H: 0.389 0.722 0.397

## Properties
As for the volume: 257.8 Å³ per cell. The space group is P-1.

The least stable of them is <one>.